Entry 1:
First-principles (GGA-PBE) data for a relaxed structure of CaLaNd2S4, as listed in the Alexandria database.

abc: 8.1675 8.1675 8.1398
angles: 119.89 119.89 89.95
Last column: nearest neighbours and their distance in Å.
Positions (direct):
Ca1 0.0000 0.5000 0.0000  6 S 2.85-2.86
Ca2 0.0000 0.5000 0.5000  6 S 2.85-2.86
La1 0.5000 0.5000 0.5000  6 S 2.90-2.91
La2 0.0000 0.0000 0.0000  6 S 2.90-2.91
Nd1 0.5000 0.0000 0.0000  6 S 2.92
Nd2 0.5000 0.0000 0.5000  6 S 2.92
Nd3 0.0000 0.0000 0.5000  6 S 2.87
Nd4 0.5000 0.5000 0.0000  6 S 2.87
S1 0.2464 0.7433 0.9948  2 Ca 2.86, 3 Nd 2.87-2.92, 1 La 2.90
S2 0.7567 0.2536 0.5052  2 Ca 2.86, 3 Nd 2.87-2.92, 1 La 2.90
S3 0.2433 0.7464 0.4948  2 Ca 2.86, 3 Nd 2.87-2.92, 1 La 2.90
S4 0.7536 0.2567 0.0052  2 Ca 2.86, 3 Nd 2.87-2.92, 1 La 2.90
S5 0.7532 0.7468 0.0031  1 Ca 2.85, 3 Nd 2.87-2.92, 2 La 2.91
S6 0.7532 0.7468 0.4969  1 Ca 2.85, 3 Nd 2.87-2.92, 2 La 2.91
S7 0.2468 0.2532 0.5031  1 Ca 2.85, 3 Nd 2.87-2.92, 2 La 2.91
S8 0.2468 0.2532 0.9969  1 Ca 2.85, 3 Nd 2.87-2.92, 2 La 2.91

* DOS at the Fermi energy: 4.4 states/eV/f.u.
* total magnetic moment: 0.00 μB/cell
* raw formation energy: -2070 meV/atom



Entry 2:
First-principles (GGA-PBE) data for a relaxed structure of Dy3Mg2Pt3, as listed in the Alexandria database.

abc: 5.7504 8.3643 8.3643
angles: 120.00 90.00 90.00
Last column: nearest neighbours and their distance in Å.
Positions (direct):
Dy1 0.7500 0.2702 0.0000  5 Pt 2.86-3.04
Dy2 0.7500 0.7298 0.7298  5 Pt 2.86-3.04
Dy3 0.7500 0.0000 0.2702  5 Pt 2.86-3.04
Dy4 0.2500 0.7298 0.0000  5 Pt 2.86-3.04
Dy5 0.2500 0.2702 0.2702  5 Pt 2.86-3.04
Dy6 0.2500 0.0000 0.7298  5 Pt 2.86-3.04
Mg1 0.0000 0.3333 0.6667  2 Mg 2.88, 6 Pt 2.96
Mg2 0.5000 0.6667 0.3333  2 Mg 2.88, 6 Pt 2.96
Mg3 0.0000 0.6667 0.3333  2 Mg 2.88, 6 Pt 2.96
Mg4 0.5000 0.3333 0.6667  2 Mg 2.88, 6 Pt 2.96
Pt1 0.7500 0.6119 0.0000  5 Dy 2.86-3.04, 4 Mg 2.96
Pt2 0.7500 0.3881 0.3881  5 Dy 2.86-3.04, 4 Mg 2.96
Pt3 0.7500 0.0000 0.6119  5 Dy 2.86-3.04, 4 Mg 2.96
Pt4 0.2500 0.3881 0.0000  5 Dy 2.86-3.04, 4 Mg 2.96
Pt5 0.2500 0.6119 0.6119  5 Dy 2.86-3.04, 4 Mg 2.96
Pt6 0.2500 0.0000 0.3881  5 Dy 2.86-3.04, 4 Mg 2.96

* DOS at the Fermi energy: 4.0 states/eV/f.u.
* total magnetic moment: 0.00 μB/cell
* energy of formation from the pure elements: -1024 meV per atom



Entry 3:
First-principles (GGA-PBE) data for a relaxed structure of DyScSnRh, as listed in the Alexandria database.

abc: 4.9607 4.9607 4.9607
angles: 60.00 60.00 60.00
Last column: nearest neighbours and their distance in Å.
Positions (direct):
Sc1 0.5000 0.5000 0.5000  4 Sn 3.04, 4 Rh 3.04
Rh1 0.7500 0.7500 0.7500  4 Sc 3.04, 4 Dy 3.04
Sn1 0.2500 0.2500 0.2500  4 Dy 3.04, 4 Sc 3.04
Dy1 0.0000 0.0000 0.0000  4 Sn 3.04, 4 Rh 3.04

* DOS at the Fermi energy: 2.0 states/eV/f.u.
* total magnetic moment: 0.00 μB/cell
* energy of formation from the pure elements: -658 meV per atom



Entry 4:
First-principles (GGA-PBE) data for a relaxed structure of KTa2Ni, as listed in the Alexandria database.

abc: 2.9926 2.9942 9.4363
angles: 90.00 90.00 90.00
Last column: nearest neighbours and their distance in Å.
Positions (direct):
K1 0.0000 0.0000 0.5387  4 K 2.99, 4 Ni 3.34
Ni1 0.5000 0.5000 0.8127  4 Ta 2.55
Ta1 0.0000 0.0000 0.9642  4 Ni 2.55
Ta2 0.5000 0.5000 0.1844  8 Ta 2.97-2.99

* DOS at the Fermi energy: 4.2 states/eV/f.u.
* total magnetic moment: 0.01 μB/cell
* energy of formation from the pure elements: 497 meV per atom